No. 1
First-principles (SCAN) data for a PBEsol-optimized structure of Mn2RuPt, as listed in Alexandria.

```
data_Mn2RuPt
_symmetry_space_group_name_H-M 'P 4/m m m'
_symmetry_Int_Tables_number 123
_symmetry_space_group_name_Hall '-P 4 2'
_cell_length_a 2.628
_cell_length_b 2.628
_cell_length_c 7.286
_cell_angle_alpha 90.00
_cell_angle_beta 90.00
_cell_angle_gamma 90.00
loop_
_atom_site_label
_atom_site_type_symbol
_atom_site_fract_x
_atom_site_fract_y
_atom_site_fract_z
Mn1 Mn 0.000 0.000 0.241
Ru1 Ru 0.500 0.500 0.000
Pt1 Pt 0.500 0.500 0.500
```

Calculated values
Total moment = 6.1 Bohr magnetons per cell
Formation energy from the elements = -290 meV per atom
N(E_F) = 0.614 states/eV/atom
Total DFT energy (no corrections) = -35.672 eV per atom
Volume = 12.58 Å³/atom

No. 2
First-principles (SCAN) data for a PBEsol-optimized structure of La2MnW, as listed in Alexandria.

```
data_La2MnW
_symmetry_space_group_name_H-M 'I -4 m 2'
_symmetry_Int_Tables_number 119
_symmetry_space_group_name_Hall 'I -4 -2'
_cell_length_a 4.397
_cell_length_b 4.397
_cell_length_c 9.067
_cell_angle_alpha 90.00
_cell_angle_beta 90.00
_cell_angle_gamma 90.00
loop_
_atom_site_label
_atom_site_type_symbol
_atom_site_fract_x
_atom_site_fract_y
_atom_site_fract_z
La1 La 0.000 0.000 0.000
La2 La 0.000 0.500 0.250
Mn1 Mn 0.000 0.000 0.500
W1 W 0.000 0.500 0.750
```

Calculated values
Total moment = 8.5 Bohr magnetons per cell
Formation energy from the elements = 658 meV per atom
N(E_F) = 1.060 states/eV/atom
Total DFT energy (no corrections) = -42.881 eV per atom
Offset from the most stable computed form = 305 meV per atom
Volume = 21.91 Å³/atom

> Which value of volume does entry 2 give?

21.91 Å³/atom